A relaxed LaSmDyMg crystal. Source: Alexandria via LeMat-Bulk, functional PBE-GGA.

**Spin magnetization**: 0.00 μB per formula unit
**Symmetry**: No. 99
**ΔE to the lowest computed polymorph**: 0.0000 eV/atom
**DOS at the Fermi energy**: 5.3 states/eV/f.u.

Unit cell a=3.733 b=3.733 c=9.014 alpha=90.00 beta=90.00 gamma=90.00
Positions (direct):
1 La 0.000 0.000 0.000
2 Sm 0.500 0.500 0.717
3 Dy 0.500 0.500 0.276
4 Mg 0.000 0.000 0.491